Density functional theory data (PBE) for crystalline K3PuI6 at its relaxed geometry.

a = 8.3482 Å, b = 9.1588 Å, c = 14.8523 Å
α = 90.00°, β = 123.96°, γ = 90.00°
With the nearest neighbours (Å) after each atom.
Sites, in units of the cell vectors:
K: 0.0000 0.0000 0.0000  6 I 3.49-3.54
K: 0.0000 0.5000 0.5000  6 I 3.49-3.54
K: 0.2093 0.0926 0.7483  6 I 3.57-3.79
K: 0.2093 0.4074 0.2483  6 I 3.57-3.79
K: 0.7907 0.5926 0.7517  6 I 3.57-3.79
K: 0.7907 0.9074 0.2517  6 I 3.57-3.79
Pu: 0.5000 0.0000 0.5000  6 I 3.10-3.12
Pu: 0.5000 0.5000 0.0000  6 I 3.10-3.12
I: 0.1327 0.1770 0.4330  1 Pu 3.10
I: 0.1327 0.3230 0.9330  1 Pu 3.10
I: 0.2673 0.7085 0.4278  1 Pu 3.12
I: 0.2673 0.7915 0.9278  1 Pu 3.12
I: 0.4072 0.0542 0.2682  1 Pu 3.12
I: 0.4072 0.4458 0.7682  1 Pu 3.12
I: 0.5928 0.5542 0.2318  1 Pu 3.12
I: 0.5928 0.9458 0.7318  1 Pu 3.12
I: 0.7327 0.2085 0.0722  1 Pu 3.12
I: 0.7327 0.2915 0.5722  1 Pu 3.12
I: 0.8673 0.6770 0.0670  1 Pu 3.10
I: 0.8673 0.8230 0.5670  1 Pu 3.10

ρ = 3.96 g cm⁻³
SG = P2_1/c
energy relative to the elements, uncorrected = -1316.8 meV/atom
density of states at the Fermi level = 11.144 states/eV/f.u.
final energy = -80.19 eV per cell